# FeCo4 | the Alexandria database | PBE | relaxed
# - calculated total energy (eV per cell) = -64.4
# - formation enthalpy at 0 K (eV/f.u.) = 4.7
# - theoretical density (g/cm3) = 6.8
data_FeCo4
_chemical_formula_sum 'Fe2 Co8'
_symmetry_space_group_name_H-M 'I m -3 m'
_symmetry_Int_Tables_number 229
_symmetry_space_group_name_Hall '-I 4 2 3'
_cell_length_a 5.2128
_cell_length_b 5.2128
_cell_length_c 5.2128
_cell_angle_alpha 90.00
_cell_angle_beta 90.00
_cell_angle_gamma 90.00
loop_
_atom_site_label
_atom_site_type_symbol
_atom_site_fract_x
_atom_site_fract_y
_atom_site_fract_z
Fe1 Fe 0.0000 0.0000 0.0000
Co1 Co 0.2500 0.2500 0.2500